DFT (PBE) results for CsTbSn2 after structural relaxation.

extended XYZ file:
```
4
Lattice="-3.095 2.682 0.534 -2.645 -2.732 -1.611 -1.424 -3.183 7.738" Properties=species:S:1:pos:R:3 pbc="T T T"
Tb -2.870 -0.025 -0.538
Sn -1.179 -2.637 6.410
Cs -3.582 -1.617 3.330
Sn -0.244 -0.546 1.328
```

Computed properties:
As for the space group: P4/mmm (123). As for the spin magnetization: 0.000 μB per atom. The formation energy is -0.431 eV/atom.